Entry 1:
# Ac2Ga2Te7 (PBE, relaxed)
data_Ac2Ga2Te7
_chemical_formula_sum 'Ac4 Ga4 Te14'
_cell_length_a 9.8037
_cell_length_b 13.5684
_cell_length_c 7.4238
_cell_angle_alpha 90.00
_cell_angle_beta 110.62
_cell_angle_gamma 90.00
_space_group_name_H-M_alt 'C 1 2/m 1'
_space_group_IT_number 12
_space_group_name_Hall '-C 2y'
loop_
_atom_site_label
_atom_site_type_symbol
_atom_site_fract_x
_atom_site_fract_y
_atom_site_fract_z
Ac1 Ac 0.0000 0.2043 0.0000
Ga1 Ga 0.2495 0.0000 0.6080
Te1 Te 0.0000 0.5000 0.5000
Te2 Te 0.1805 0.0000 0.2282
Te3 Te 0.2099 0.1702 0.7395
# - Uncorrected energy: -3.99 eV/atom

***

Entry 2:
# Hg4Te2Cl3 (PBE, relaxed)
data_Hg4Te2Cl3
_chemical_formula_sum 'Hg16 Te8 Cl12'
_cell_length_a 10.8360
_cell_length_b 14.1477
_cell_length_c 7.6861
_cell_angle_alpha 90.00
_cell_angle_beta 102.98
_cell_angle_gamma 90.00
_space_group_name_H-M_alt 'C 1 2/c 1'
_space_group_IT_number 15
_space_group_name_Hall '-C 2yc'
loop_
_atom_site_label
_atom_site_type_symbol
_atom_site_fract_x
_atom_site_fract_y
_atom_site_fract_z
Hg1 Hg 0.0676 0.1350 0.1063
Hg2 Hg 0.1674 0.4592 0.4825
Te1 Te 0.1652 0.3717 0.8030
Cl1 Cl 0.0000 0.3412 0.2500
Cl2 Cl 0.1337 0.1247 0.6484
# - Distance to the lowest polymorph of the same formula: 0 meV/atom

***

Entry 3:
# Dy2CdGa4Pd3 (PBE, relaxed)
data_Dy2CdGa4Pd3
_chemical_formula_sum 'Dy2 Cd1 Ga4 Pd3'
_cell_length_a 4.1919
_cell_length_b 4.1919
_cell_length_c 11.0099
_cell_angle_alpha 90.00
_cell_angle_beta 90.00
_cell_angle_gamma 90.00
_space_group_name_H-M_alt 'P -4 m 2'
_space_group_IT_number 115
_space_group_name_Hall 'P -4 -2'
loop_
_atom_site_label
_atom_site_type_symbol
_atom_site_fract_x
_atom_site_fract_y
_atom_site_fract_z
Dy1 Dy 0.0000 0.5000 0.2348
Cd1 Cd 0.0000 0.0000 0.5000
Ga1 Ga 0.0000 0.0000 0.0000
Ga2 Ga 0.0000 0.5000 0.6470
Ga3 Ga 0.5000 0.5000 0.0000
Pd1 Pd 0.0000 0.5000 0.8687
Pd2 Pd 0.5000 0.5000 0.5000
# - ΔE_f: -0.669 eV/atom